# 1
Material: Sc4AlIn2
Method: DFT, PBE-GGA
State: optimized geometry

Cell lengths 8.477, 8.477, 8.477 Å; angles 33.52, 33.52, 33.52 degrees
Element x y z (fractional)
Sc: 0.122 0.122 0.122
Sc: 0.373 0.373 0.373
Sc: 0.627 0.627 0.627
Sc: 0.878 0.878 0.878
Al: 0.500 0.500 0.500
In: 0.251 0.251 0.251
In: 0.749 0.749 0.749

Output
Calculated density (Mg/m³): 4.4
Formation energy from the elements (eV/atom): -0.2444
DOS at the Fermi energy (states/eV/cell): 8.54

# 2
Material: TePt
Method: DFT, PBE-GGA
State: optimized geometry

Cell lengths 3.680, 3.680, 7.419 Å; angles 90.00, 90.00, 120.00 degrees
Element x y z (fractional)
Te: 0.000 0.000 0.000
Te: 0.000 0.000 0.500
Pt: 0.333 0.667 0.250
Pt: 0.667 0.333 0.750

Output
Calculated density (Mg/m³): 12.3
DOS at the Fermi energy (states/eV/cell): 2.66
Formation energy from raw total energies (kJ/mol of atoms): -3.6

# 3
Material: Cs3SbC
Method: DFT, PBE-GGA
State: optimized geometry

Cell lengths 6.325, 6.325, 6.325 Å; angles 90.00, 90.00, 90.00 degrees
Element x y z (fractional)
Cs: 0.000 0.000 0.500
Cs: 0.000 0.500 0.000
Cs: 0.500 0.000 0.000
Sb: 0.500 0.500 0.500
C: 0.000 0.000 0.000

Output
Excess energy over the best structure of this formula in the dataset (eV/atom): 0.000
Calculated density (Mg/m³): 3.5
DOS at the Fermi energy (states/eV/cell): 7.96
Formation energy from raw total energies (kJ/mol of atoms): 75.7

# 4
Material: NaMoIN2
Method: DFT, PBE-GGA
State: optimized geometry

Cell lengths 4.505, 4.505, 6.642 Å; angles 90.00, 90.00, 90.00 degrees
Element x y z (fractional)
Na: 0.000 0.000 0.000
Mo: 0.500 0.500 0.500
I: 0.000 0.000 0.500
N: 0.000 0.500 0.000
N: 0.500 0.000 0.000

Output
Excess energy over the best structure of this formula in the dataset (eV/atom): 2.165
Calculated density (Mg/m³): 3.4
DOS at the Fermi energy (states/eV/cell): 2.38
Formation energy from raw total energies (kJ/mol of atoms): 224.1

# 5
Material: La2MgMn
Method: DFT, PBE-GGA
State: optimized geometry

Cell lengths 10.800, 10.800, 10.800 Å; angles 18.96, 18.96, 18.96 degrees
Element x y z (fractional)
La: 0.241 0.241 0.241
La: 0.759 0.759 0.759
Mg: 0.000 0.000 0.000
Mn: 0.500 0.500 0.500

Output
Calculated density (Mg/m³): 5.1
Formation energy from the elements (eV/atom): 0.2955
DOS at the Fermi energy (states/eV/cell): 5.55

# 6
Material: Th2ScHg
Method: DFT, PBE-GGA
State: optimized geometry

Cell lengths 12.002, 12.002, 12.002 Å; angles 16.04, 16.04, 16.04 degrees
Element x y z (fractional)
Th: 0.089 0.089 0.089
Th: 0.911 0.911 0.911
Sc: 0.000 0.000 0.000
Hg: 0.500 0.500 0.500

Output
Excess energy over the best structure of this formula in the dataset (eV/atom): 0.247
Calculated density (Mg/m³): 10.2
Formation energy from the elements (eV/atom): 0.1703
DOS at the Fermi energy (states/eV/cell): 4.36

# 7
Material: Tb2Pm3Dy6
Method: DFT, PBE-GGA
State: optimized geometry

Cell lengths 16.968, 16.968, 16.968 Å; angles 163.90, 163.90, 22.85 degrees
Element x y z (fractional)
Tb: 0.046 0.046 0.000
Tb: 0.954 0.954 0.000
Pm: 0.298 0.298 0.000
Pm: 0.500 0.500 0.000
Pm: 0.702 0.702 0.000
Dy: 0.121 0.621 0.500
Dy: 0.194 0.194 0.000
Dy: 0.379 0.879 0.500
Dy: 0.621 0.121 0.500
Dy: 0.806 0.806 0.000
Dy: 0.879 0.379 0.500

Output
Excess energy over the best structure of this formula in the dataset (eV/atom): 0.118
Calculated density (Mg/m³): 7.6
Formation energy from the elements (eV/atom): 0.2726
DOS at the Fermi energy (states/eV/cell): 16.54

# 8
Material: TaTi3S6
Method: DFT, PBE-GGA
State: optimized geometry

Cell lengths 7.212, 7.212, 7.212 Å; angles 88.28, 88.28, 88.28 degrees
Element x y z (fractional)
Ta: 0.000 0.000 0.000
Ta: 0.500 0.500 0.500
Ti: 0.088 0.612 0.225
Ti: 0.225 0.088 0.612
Ti: 0.388 0.775 0.912
Ti: 0.612 0.225 0.088
Ti: 0.775 0.912 0.388
Ti: 0.912 0.388 0.775
S: 0.069 0.677 0.897
S: 0.103 0.931 0.323
S: 0.177 0.408 0.547
S: 0.323 0.103 0.931
S: 0.408 0.547 0.177
S: 0.453 0.823 0.592
S: 0.547 0.177 0.408
S: 0.592 0.453 0.823
S: 0.677 0.897 0.069
S: 0.823 0.592 0.453
S: 0.897 0.069 0.677
S: 0.931 0.323 0.103

Output
Calculated density (Mg/m³): 4.6
DOS at the Fermi energy (states/eV/cell): 14.16
Formation energy from raw total energies (kJ/mol of atoms): -105.2

# 9
Material: Tl12Hg6Pb
Method: DFT, PBE-GGA
State: optimized geometry

Cell lengths 8.837, 8.837, 8.837 Å; angles 106.36, 106.36, 106.36 degrees
Element x y z (fractional)
Tl: 0.023 0.099 0.690
Tl: 0.099 0.690 0.023
Tl: 0.210 0.710 0.474
Tl: 0.290 0.526 0.790
Tl: 0.310 0.977 0.901
Tl: 0.474 0.210 0.710
Tl: 0.526 0.790 0.290
Tl: 0.690 0.023 0.099
Tl: 0.710 0.474 0.210
Tl: 0.790 0.290 0.526
Tl: 0.901 0.310 0.977
Tl: 0.977 0.901 0.310
Hg: 0.085 0.298 0.355
Hg: 0.298 0.355 0.085
Hg: 0.355 0.085 0.298
Hg: 0.645 0.915 0.702
Hg: 0.702 0.645 0.915
Hg: 0.915 0.702 0.645
Pb: 0.500 0.500 0.500

Output
Excess energy over the best structure of this formula in the dataset (eV/atom): 0.023
Calculated density (Mg/m³): 11.0
Formation energy from the elements (eV/atom): 0.0308
DOS at the Fermi energy (states/eV/cell): 8.02

# 10
Material: Tm7Th
Method: DFT, PBE-GGA
State: optimized geometry

Cell lengths 6.988, 6.988, 6.988 Å; angles 60.00, 60.00, 60.00 degrees
Element x y z (fractional)
Tm: 0.000 0.000 0.000
Tm: 0.000 0.000 0.500
Tm: 0.000 0.500 0.000
Tm: 0.000 0.500 0.500
Tm: 0.500 0.000 0.000
Tm: 0.500 0.000 0.500
Tm: 0.500 0.500 0.000
Th: 0.500 0.500 0.500

Output
Calculated density (Mg/m³): 9.7
Formation energy from the elements (eV/atom): 0.0203
DOS at the Fermi energy (states/eV/cell): 11.20

# 11
Material: TaIrBr
Method: DFT, PBE-GGA
State: optimized geometry

Cell lengths 4.420, 4.420, 4.420 Å; angles 60.00, 60.00, 60.00 degrees
Element x y z (fractional)
Ta: 0.000 0.000 0.000
Ir: 0.250 0.250 0.250
Br: 0.750 0.750 0.750

Output
Excess energy over the best structure of this formula in the dataset (eV/atom): 0.474
Calculated density (Mg/m³): 12.3
DOS at the Fermi energy (states/eV/cell): 3.24
Formation energy from raw total energies (kJ/mol of atoms): 47.0

# 12
Material: La2TiRe4
Method: DFT, PBE-GGA
State: optimized geometry

Cell lengths 8.061, 8.061, 8.061 Å; angles 146.04, 146.04, 48.79 degrees
Element x y z (fractional)
La: 0.141 0.141 0.000
La: 0.859 0.859 0.000
Ti: 0.500 0.500 0.000
Re: 0.000 0.500 0.500
Re: 0.342 0.342 0.000
Re: 0.500 0.000 0.500
Re: 0.658 0.658 0.000

Output
Calculated density (Mg/m³): 10.9
Formation energy from the elements (eV/atom): 1.3197
DOS at the Fermi energy (states/eV/cell): 10.64

Looking at E_tot for the records above, in order, we have -5.1795 -4.6285 -2.3970 -3.7472 -4.8593 -5.1979 -4.3751 -7.1202 -1.7542 -4.8198 -6.9753 -8.3291 eV/atom.